Material: Lu4In3Mo2C3
Method: DFT, PBE
State: optimized geometry

DFT total energy	-161.12	eV/cell
total magnetization	0.000	μB per atom

Cell: 5.829 5.829 15.192 Å, 101.29 101.29 60.52°
Fractional coordinates of all 24 atoms:
Lu 0.042 0.186 0.090
Lu 0.126 0.303 0.410
Lu 0.186 0.042 0.590
Lu 0.303 0.126 0.910
Lu 0.697 0.874 0.090
Lu 0.814 0.958 0.410
Lu 0.874 0.697 0.590
Lu 0.958 0.814 0.910
In 0.129 0.871 0.250
In 0.286 0.420 0.752
In 0.420 0.286 0.252
In 0.580 0.714 0.748
In 0.714 0.580 0.248
In 0.871 0.129 0.750
Mo 0.347 0.522 0.068
Mo 0.478 0.653 0.432
Mo 0.522 0.347 0.568
Mo 0.653 0.478 0.932
C 0.000 0.500 0.000
C 0.191 0.655 0.500
C 0.345 0.809 0.000
C 0.500 0.000 0.500
C 0.655 0.191 0.000
C 0.809 0.345 0.500

Material: BaTaIn
Method: DFT, PBE
State: optimized geometry

DFT total energy	-13.22	eV/cell
total magnetization	0.665	μB per atom

Cell: 5.118 5.118 5.118 Å, 60.00 60.00 60.00°
Fractional coordinates of all 3 atoms:
Ba 0.000 0.000 0.000
Ta 0.250 0.250 0.250
In 0.500 0.500 0.500

Number 1: calculated volume 18.23 Å³/atom. Number 2: calculated volume 31.60 Å³/atom.